1.
An optimized crystal structure of Pm2C3, computed with PBE.

Formation energy from the elements in meV/atom: -196
Total magnetization in μB per cell: 0.00

Cell: 8.534 8.534 8.534 Å, 90.00 90.00 90.00°
Space group I-43d (No. 220)
Asymmetric unit:
Pm (0.051, 0.449, 0.551) x16
C (0.000, 0.250, 0.797) x24

2.
An optimized crystal structure of Pm2PrC, computed with PBE.

Formation energy from the elements in meV/atom: -63
E above lowest polymorph in eV/atom: 0.000
Total magnetization in μB per cell: 0.00

Cell: 3.6836 3.6836 9.5750 Å, 90.00 90.00 120.00°
Space group P-3m1 (No. 164)
Asymmetric unit:
Pm (0.3333, 0.6667, 0.1478) x2
Pr (0.0000, 0.0000, 0.5000) x1
C (0.0000, 0.0000, 0.0000) x1

3.
An optimized crystal structure of Pm5PrC3, computed with PBE.

Formation energy from the elements in meV/atom: -17
Total magnetization in μB per cell: 0.00

Cell: 11.605 8.873 9.702 Å, 90.00 118.11 90.00°
Space group C2/m (No. 12)
Asymmetric unit:
Pm (0.000, 0.199, 0.000) x4
Pm (0.068, 0.000, 0.369) x4
Pm (0.166, 0.300, 0.667) x8
Pm (0.234, 0.500, 0.033) x4
Pr (0.102, 0.500, 0.301) x4
C (0.000, 0.500, 0.000) x2
C (0.000, 0.500, 0.500) x2
C (0.161, 0.000, 0.668) x4
C (0.167, 0.000, 0.165) x4

4.
An optimized crystal structure of Pm2Pr4C, computed with PBE.

Formation energy from the elements in meV/atom: 208
Total magnetization in μB per cell: 0.00

Cell: 5.117 5.117 17.917 Å, 90.00 90.00 90.00°
Space group I4/mmm (No. 139)
Asymmetric unit:
Pm (0.000, 0.000, 0.174) x4
Pr (0.000, 0.000, 0.361) x4
Pr (0.000, 0.500, 0.000) x4
C (0.000, 0.000, 0.500) x2

5.
An optimized crystal structure of Pm4Pr2C, computed with PBE.

Formation energy from the elements in meV/atom: -42
E above lowest polymorph in eV/atom: 0.000
Total magnetization in μB per cell: 0.00

Cell: 3.6830 3.6830 55.9739 Å, 90.00 90.00 120.00°
Space group R-3m (No. 166, hexagonal axes)
Asymmetric unit:
Pm (0.0000, 0.0000, 0.1396) x6
Pm (0.0000, 0.0000, 0.3585) x6
Pr (0.0000, 0.0000, 0.2453) x6
C (0.0000, 0.0000, 0.0000) x3

6.
An optimized crystal structure of Pm2PrC, computed with PBE.

Formation energy from the elements in meV/atom: -45
E above lowest polymorph in eV/atom: 0.019
Total magnetization in μB per cell: 0.04

Cell: 6.349 3.667 9.959 Å, 90.00 102.32 90.00°
Space group C2/m (No. 12)
Asymmetric unit:
Pm (0.215, 0.000, 0.146) x4
Pr (0.000, 0.000, 0.500) x2
C (0.000, 0.500, 0.000) x2

7.
An optimized crystal structure of Pm4Pr2C, computed with PBE.

Formation energy from the elements in meV/atom: 147
E above lowest polymorph in eV/atom: 0.189
Total magnetization in μB per cell: 0.00

Cell: 5.040 5.040 18.000 Å, 90.00 90.00 90.00°
Space group I4/mmm (No. 139)
Asymmetric unit:
Pm (0.000, 0.000, 0.136) x4
Pm (0.000, 0.500, 0.000) x4
Pr (0.000, 0.000, 0.324) x4
C (0.000, 0.000, 0.000) x2

8.
An optimized crystal structure of Pm3PrC8, computed with PBE.

Formation energy from the elements in meV/atom: 158
Total magnetization in μB per cell: 0.00

Cell: 10.130 10.142 7.934 Å, 90.00 90.00 90.00°
Space group Fmm2 (No. 42)
Asymmetric unit:
Pm (0.000, 0.000, 0.000) x4
Pm (0.250, 0.250, 0.250) x8
Pr (0.000, 0.000, 0.500) x4
C (0.000, 0.167, 0.258) x8
C (0.000, 0.234, 0.860) x8
C (0.167, 0.000, 0.743) x8
C (0.234, 0.000, 0.140) x8